A plane-wave DFT calculation with PBE was carried out for a relaxed structure of Pm4PrSn15.

a b c (Å): 4.6982 4.6982 24.5629
angles (deg): 90.00 90.00 90.00
Positions (direct):
Sn  0.5000  0.0000  0.8989
Sn  0.5000  0.5000  0.0000
Sn  0.5000  0.0000  0.6995
Sn  0.0000  0.5000  0.6995
Sn  0.5000  0.5000  0.2006
Sn  0.0000  0.5000  0.3005
Sn  0.5000  0.0000  0.1011
Sn  0.0000  0.5000  0.5000
Sn  0.5000  0.0000  0.3005
Sn  0.0000  0.5000  0.1011
Sn  0.5000  0.0000  0.5000
Sn  0.5000  0.5000  0.6000
Sn  0.0000  0.5000  0.8989
Sn  0.5000  0.5000  0.7994
Sn  0.5000  0.5000  0.4000
Pm  0.0000  0.0000  0.5996
Pm  0.0000  0.0000  0.4004
Pm  0.0000  0.0000  0.2005
Pm  0.0000  0.0000  0.7995
Pr  0.0000  0.0000  0.0000

Calculated values
The value obtained for the formation energy is -0.489 eV per atom. The total energy is -4.681 eV/atom.